No. 1
Dy2Cd5 after structural relaxation. Source: the Alexandria database, functional PBE-GGA.

POSCAR file:
```
Dy2Cd5
1.0
-3.679 6.999 3.318
3.679 -6.999 3.318
3.679 6.999 -3.318
Dy Cd
4 10
direct
0.102 0.188 0.290
0.398 0.688 0.087
0.602 0.312 0.913
0.898 0.812 0.710
0.018 0.750 0.268
0.124 0.764 0.888
0.250 0.750 0.500
0.376 0.264 0.640
0.482 0.750 0.732
0.518 0.250 0.268
0.624 0.736 0.360
0.750 0.250 0.500
0.876 0.236 0.112
0.982 0.250 0.732
```



No. 2
Dy2Cd3 after structural relaxation. Source: the Alexandria database, functional PBE-GGA.

POSCAR file:
```
Dy2Cd3
1.0
2.510 1.449 5.806
-2.510 1.449 5.806
0.000 -2.899 5.806
Dy Cd
2 3
direct
0.098 0.098 0.098
0.902 0.902 0.902
0.309 0.309 0.309
0.500 0.500 0.500
0.691 0.691 0.691
```

E above lowest polymorph = 0.22 eV/f.u.



No. 3
DyCd2 after structural relaxation. Source: the Alexandria database, functional PBE-GGA.

POSCAR file:
```
DyCd2
1.0
0.000 4.175 4.175
4.175 0.000 4.175
4.175 4.175 0.000
Dy Cd
2 4
direct
0.125 0.125 0.125
0.875 0.875 0.875
0.000 0.500 0.500
0.500 0.000 0.500
0.500 0.500 0.000
0.500 0.500 0.500
```



Number 1: D(E_F) 6.2 states/eV per cell, DFT formation energy -0.240 eV per atom. Number 2: D(E_F) 2.8 states/eV per cell, DFT formation energy -0.243 eV per atom. Number 3: D(E_F) 5.3 states/eV per cell, DFT formation energy -0.250 eV per atom.